DFT (PBE) results for a relaxed structure of ZrAsSe2.

Results
E_form (uncorrected)   -14.694 kcal/mol of atoms
Spin magnetization   0.0 μB per formula unit
V   98.71 Å³ per cell

Unit cell a=5.150 b=5.150 c=5.706 alpha=95.91 beta=95.91 gamma=41.01
Sites, in units of the cell vectors:
Zr 0.000 0.000 0.000
As 0.283 0.283 0.942
Se 0.466 0.466 0.641
Se 0.657 0.657 0.285